# 1
# SrNb2Bi2O9 (SCAN, single point on PBEsol structure)
data_SrNb2Bi2O9
_space_group_name_H-M_alt 'C m c 21'
_space_group_IT_number 36
_cell_length_a 24.920
_cell_length_b 5.566
_cell_length_c 5.577
_cell_angle_alpha 90.00
_cell_angle_beta 90.00
_cell_angle_gamma 90.00
loop_
_space_group_symop_operation_xyz
'x,y,z'
'-x,-y,z+1/2'
'-x,y,z'
'x,-y,z+1/2'
'x+1/2,y+1/2,z'
'-x+1/2,-y+1/2,z+1/2'
'-x+1/2,y+1/2,z'
'x+1/2,-y+1/2,z+1/2'
loop_
_atom_site_label
_atom_site_type_symbol
_atom_site_fract_x
_atom_site_fract_y
_atom_site_fract_z
_atom_site_occupancy
Sr1 Sr 0.000 0.247 0.000 1
Nb1 Nb 0.084 0.251 0.488 1
Bi1 Bi 0.200 0.218 0.065 1
O1 O 0.000 0.306 0.456 1
O2 O 0.067 0.025 0.739 1
O3 O 0.087 0.462 0.181 1
O4 O 0.158 0.173 0.459 1
O5 O 0.248 0.487 0.285 1
# theoretical density: 7172 kg/m³
# formation energy (no corrections): -33.05 eV per formula unit
# electronic total energy: -23.92 eV per atom

# 2
# CaGa (SCAN, single point on PBEsol structure)
data_CaGa
_space_group_name_H-M_alt 'C m c m'
_space_group_IT_number 63
_space_group_name_Hall '-C 2c 2'
_cell_length_a 3.908
_cell_length_b 11.506
_cell_length_c 4.388
_cell_angle_alpha 90.00
_cell_angle_beta 90.00
_cell_angle_gamma 90.00
loop_
_atom_site_label
_atom_site_type_symbol
_atom_site_fract_x
_atom_site_fract_y
_atom_site_fract_z
_atom_site_occupancy
Ca1 Ca 0.000 0.148 0.250 1
Ga1 Ga 0.000 0.432 0.250 1
# theoretical density: 3696 kg/m³
# electronic total energy: -13.53 eV per atom
# energy of formation from the pure elements: -526 meV per atom

# 3
# NaAsF6 (SCAN, single point on PBEsol structure)
data_NaAsF6
_space_group_name_H-M_alt 'R -3'
_space_group_IT_number 148
_space_group_name_Hall '-R 3'
_cell_length_a 5.2076
_cell_length_b 5.2076
_cell_length_c 14.1787
_cell_angle_alpha 90.00
_cell_angle_beta 90.00
_cell_angle_gamma 120.00
loop_
_atom_site_label
_atom_site_type_symbol
_atom_site_fract_x
_atom_site_fract_y
_atom_site_fract_z
_atom_site_occupancy
Na1 Na 0.0000 0.0000 0.0000 1
As1 As 0.0000 0.0000 0.5000 1
F1 F 0.0075 0.2793 0.5717 1
# theoretical density: 3170 kg/m³
# formation energy (no corrections): -20.02 eV per formula unit
# electronic total energy: -8.21 eV per atom